Below is a geometry-optimized LiPuRh structure, with properties calculated at the GGA-PBE level.

a = 3.851 Å, b = 3.851 Å, c = 7.733 Å
α = 90.00°, β = 90.00°, γ = 90.00°
Fractional coordinates of all 6 atoms:
1 Li 0.500 0.500 0.500
2 Rh 0.500 0.000 0.769
3 Li 0.000 0.000 0.500
4 Pu 0.500 0.000 0.154
5 Rh 0.000 0.500 0.231
6 Pu 0.000 0.500 0.846

density of states at the Fermi level = 15.99 states/eV/cell
V = 19.12 Å³ per atom
relative energy among the computed polymorphs = 0.0 meV per atom

=====

Below is a geometry-optimized LiPu3Rh5 structure, with properties calculated at the GGA-PBE level.

a = 5.712 Å, b = 8.087 Å, c = 8.086 Å
α = 120.00°, β = 90.00°, γ = 90.00°
Fractional coordinates of all 18 atoms:
1 Rh 0.750 0.000 0.296
2 Pu 0.750 0.000 0.635
3 Li 0.500 0.000 0.000
4 Rh 0.000 0.667 0.333
5 Li 0.000 0.000 0.000
6 Rh 0.250 0.704 0.000
7 Rh 0.250 0.000 0.704
8 Rh 0.000 0.333 0.667
9 Pu 0.250 0.000 0.365
10 Rh 0.500 0.667 0.333
11 Rh 0.250 0.296 0.296
12 Pu 0.250 0.635 0.635
13 Pu 0.750 0.635 0.000
14 Rh 0.750 0.296 0.000
15 Rh 0.750 0.704 0.704
16 Pu 0.250 0.365 0.000
17 Rh 0.500 0.333 0.667
18 Pu 0.750 0.365 0.365

density of states at the Fermi level = 42.09 states/eV/cell
V = 17.97 Å³ per atom

=====

Below is a geometry-optimized LiPuRh structure, with properties calculated at the GGA-PBE level.

a = 3.322 Å, b = 3.322 Å, c = 5.530 Å
α = 107.48°, β = 107.48°, γ = 90.00°
Fractional coordinates of all 3 atoms:
1 Li 0.029 0.029 0.058
2 Rh 0.652 0.652 0.304
3 Pu 0.319 0.319 0.637

density of states at the Fermi level = 8.05 states/eV/cell
V = 18.42 Å³ per atom
relative energy among the computed polymorphs = 194.7 meV per atom

=====

| no. | formation energy from the elements (eV per atom) |
| --- | --- |
| 1 | -0.332 |
| 2 | -0.379 |
| 3 | -0.137 |